No. 1
Nd2Si4Ni3Os | GGA-PBE | relaxed

Cell lengths 4.049, 4.049, 9.806 Å; angles 90.00, 90.00, 90.00 degrees
Space group P-4m2 (No. 115)
Unique sites:
Nd  0.000  0.500  0.240 (multiplicity 2)
Si  0.000  0.000  0.000 (multiplicity 1)
Si  0.000  0.500  0.632 (multiplicity 2)
Si  0.500  0.500  0.000 (multiplicity 1)
Ni  0.000  0.500  0.878 (multiplicity 2)
Ni  0.500  0.500  0.500 (multiplicity 1)
Os  0.000  0.000  0.500 (multiplicity 1)

Energy (eV/atom): -6.76


No. 2
CrCuTc | GGA-PBE | relaxed

Cell lengths 5.640, 5.640, 5.640 Å; angles 90.00, 90.00, 90.00 degrees
Space group F-43m (No. 216)
Unique sites:
Cr  0.000  0.000  0.000 (multiplicity 4)
Cu  0.250  0.250  0.750 (multiplicity 4)
Tc  0.250  0.250  0.250 (multiplicity 4)

Formation enthalpy at 0 K (eV/atom): 0.70
Energy (eV/atom): -7.33


No. 3
BaMn | GGA-PBE | relaxed

Cell lengths 9.675, 9.675, 9.675 Å; angles 90.00, 90.00, 90.00 degrees
Space group I-43m (No. 217)
Unique sites:
Ba  0.208  0.208  0.792 (multiplicity 8)
Mn  0.092  0.092  0.092 (multiplicity 8)

Formation enthalpy at 0 K (eV/atom): 0.86
Energy (eV/atom): -4.69


No. 4
ThPa5 | GGA-PBE | relaxed

Cell lengths 5.772, 9.977, 5.766 Å; angles 90.00, 109.51, 90.00 degrees
Space group C2/m (No. 12)
Unique sites:
Th  0.000  0.000  0.000 (multiplicity 2)
Pa  0.000  0.169  0.500 (multiplicity 4)
Pa  0.000  0.334  0.000 (multiplicity 4)
Pa  0.000  0.500  0.500 (multiplicity 2)

Formation enthalpy at 0 K (eV/atom): 0.05
Energy (eV/atom): -9.10


No. 5
Ga2PI | GGA-PBE | relaxed

Cell lengths 7.100, 7.100, 8.585 Å; angles 90.00, 90.00, 90.00 degrees
Space group I-42d (No. 122)
Unique sites:
Ga  0.181  0.750  0.125 (multiplicity 8)
P  0.000  0.000  0.000 (multiplicity 4)
I  0.000  0.000  0.500 (multiplicity 4)

Energy (eV/atom): -3.24


No. 6
CuSn2I2 | GGA-PBE | relaxed

Cell lengths 7.545, 7.545, 5.659 Å; angles 90.00, 90.00, 90.00 degrees
Space group P4/mbm (No. 127)
Unique sites:
Cu  0.000  0.000  0.000 (multiplicity 2)
Sn  0.214  0.286  0.000 (multiplicity 4)
I  0.178  0.678  0.500 (multiplicity 4)

Energy (eV/atom): -2.99